w.
! LaSe2Cl (PBEsol, optimized geometry); values from VASP
! - Space-group type: P4/mmm
! - N(E_F): 0.2552 states/eV/atom
&SYSTEM
  ibrav = 0, nat = 4, ntyp = 3
/
ATOMIC_SPECIES
La 138.91 La.upf
Se 78.96 Se.upf
Cl 35.45 Cl.upf
CELL_PARAMETERS angstrom
4.132 0.000 0.000
0.000 4.132 0.000
0.000 0.000 5.143
ATOMIC_POSITIONS angstrom
La 0.000 0.000 0.000
Se 0.000 2.066 2.571
Se 2.066 0.000 2.571
Cl 2.066 2.066 0.000

x.
! LaSe2Cl (PBEsol, optimized geometry); values from VASP
! - Space-group type: Cm
&SYSTEM
  ibrav = 0, nat = 8, ntyp = 3
/
ATOMIC_SPECIES
La 138.91 La.upf
Se 78.96 Se.upf
Cl 35.45 Cl.upf
CELL_PARAMETERS angstrom
10.047 0.000 0.000
0.000 4.106 0.000
-1.229 0.000 4.963
ATOMIC_POSITIONS angstrom
La 0.000 0.000 0.000
La 5.024 2.053 0.000
Se 1.329 2.053 1.678
Se 4.213 0.000 2.677
Se 6.352 0.000 1.678
Se 9.237 2.053 2.677
Cl 1.723 0.000 4.481
Cl 6.747 2.053 4.481

Energy comparison, zero being the most stable, in eV/atom: w 0.100; x 0.000.

w.
! Li2CoSiO4 (PBEsol, optimized geometry); values from VASP
! - Space-group type: I-42m
! - N(E_F): 0.1336 states/eV/atom
&SYSTEM
  ibrav = 0, nat = 16, ntyp = 4
/
ATOMIC_SPECIES
Li 6.94 Li.upf
Co 58.93 Co.upf
Si 28.09 Si.upf
O 16.00 O.upf
CELL_PARAMETERS angstrom
4.287 0.000 0.000
0.000 4.287 0.000
0.000 0.000 8.710
ATOMIC_POSITIONS angstrom
Li 0.000 2.143 2.178
Li 0.000 2.143 6.533
Li 2.143 0.000 2.178
Li 2.143 0.000 6.533
Co 0.000 0.000 0.000
Co 2.143 2.143 4.355
Si 0.000 0.000 4.355
Si 2.143 2.143 0.000
O 0.941 0.941 3.379
O 0.941 3.345 5.332
O 1.202 1.202 7.734
O 1.202 3.085 0.977
O 3.085 1.202 0.977
O 3.085 3.085 7.734
O 3.345 0.941 5.332
O 3.345 3.345 3.379

x.
! Li2CoSiO4 (PBEsol, optimized geometry); values from VASP
! - Space-group type: Pna2_1
&SYSTEM
  ibrav = 0, nat = 32, ntyp = 4
/
ATOMIC_SPECIES
Li 6.94 Li.upf
Co 58.93 Co.upf
Si 28.09 Si.upf
O 16.00 O.upf
CELL_PARAMETERS angstrom
10.638 0.000 0.000
0.000 5.023 0.000
0.000 0.000 6.218
ATOMIC_POSITIONS angstrom
Li 0.807 1.025 0.000
Li 1.740 4.067 1.560
Li 3.579 1.555 4.669
Li 4.512 3.536 3.109
Li 6.126 1.487 0.000
Li 7.059 3.468 1.560
Li 8.898 0.956 4.669
Li 9.831 3.998 3.109
Co 1.769 4.084 4.649
Co 3.550 1.572 1.540
Co 7.088 3.451 4.649
Co 8.869 0.939 1.540
Si 0.936 1.562 3.101
Si 4.383 4.073 6.210
Si 6.255 0.950 3.101
Si 9.702 3.461 6.210
O 0.606 4.019 6.202
O 0.958 3.211 3.108
O 1.711 1.025 1.745
O 1.712 1.030 4.453
O 3.608 3.536 4.854
O 3.607 3.542 1.344
O 4.361 0.700 6.217
O 4.713 1.508 3.093
O 5.925 3.515 6.202
O 6.277 4.323 3.108
O 7.030 1.481 4.453
O 7.030 1.487 1.745
O 8.926 3.993 1.344
O 8.927 3.998 4.854
O 9.680 1.812 6.217
O 10.032 1.004 3.093

Energy comparison, zero being the most stable, in eV/atom: w 0.016; x 0.000.

w.
! Ba2MnRe (PBEsol, optimized geometry); values from VASP
! - Space-group type: Fm-3m
! - N(E_F): 1.0189 states/eV/atom
&SYSTEM
  ibrav = 0, nat = 16, ntyp = 3
/
ATOMIC_SPECIES
Ba 137.33 Ba.upf
Mn 54.94 Mn.upf
Re 186.21 Re.upf
CELL_PARAMETERS angstrom
7.616 0.000 0.000
0.000 7.616 0.000
0.000 0.000 7.616
ATOMIC_POSITIONS angstrom
Ba 1.904 1.904 1.904
Ba 1.904 1.904 5.712
Ba 1.904 5.712 1.904
Ba 1.904 5.712 5.712
Ba 5.712 1.904 1.904
Ba 5.712 1.904 5.712
Ba 5.712 5.712 1.904
Ba 5.712 5.712 5.712
Mn 0.000 0.000 0.000
Mn 0.000 3.808 3.808
Mn 3.808 0.000 3.808
Mn 3.808 3.808 0.000
Re 0.000 0.000 3.808
Re 0.000 3.808 0.000
Re 3.808 0.000 0.000
Re 3.808 3.808 3.808

x.
! Ba2MnRe (PBEsol, optimized geometry); values from VASP
! - Space-group type: Immm
! - N(E_F): 1.2242 states/eV/atom
&SYSTEM
  ibrav = 0, nat = 8, ntyp = 3
/
ATOMIC_SPECIES
Ba 137.33 Ba.upf
Mn 54.94 Mn.upf
Re 186.21 Re.upf
CELL_PARAMETERS angstrom
3.373 0.000 0.000
0.000 3.481 0.000
0.000 0.000 18.911
ATOMIC_POSITIONS angstrom
Ba 0.000 0.000 2.740
Ba 0.000 0.000 16.171
Ba 1.687 1.741 6.715
Ba 1.687 1.741 12.196
Mn 0.000 1.741 9.456
Mn 1.687 0.000 0.000
Re 0.000 1.741 0.000
Re 1.687 0.000 9.456

Energy comparison, zero being the most stable, in eV/atom: w 0.593; x 0.000.